(1)
Density functional theory data (PBE) for a relaxed structure of Pr3Sm5Dy3.

a = 9.683 Å, b = 9.683 Å, c = 5.622 Å
α = 90.00°, β = 90.00°, γ = 120.00°
Fractional coordinates of all 11 atoms:
1 Pr 0.000 0.411 0.000
2 Pr 0.411 0.000 0.000
3 Pr 0.589 0.589 0.000
4 Sm 0.000 0.623 0.500
5 Sm 0.333 0.667 0.500
6 Sm 0.377 0.377 0.500
7 Sm 0.623 0.000 0.500
8 Sm 0.667 0.333 0.500
9 Dy 0.000 0.255 0.500
10 Dy 0.255 0.000 0.500
11 Dy 0.745 0.745 0.500

Values from the calculation:
Density ... 6.046 g cm⁻³
Excess energy over the best structure of this formula in the dataset ... 0 kJ/mol of formula units
ΔH_f (0 K) ... 745 meV per atom
Spin magnetization ... 0.00 μB per formula unit

***

(2)
Density functional theory data (PBE) for a relaxed structure of Tb6Pm3Dy2Mg.

a = 6.176 Å, b = 6.176 Å, c = 11.759 Å
α = 95.05°, β = 95.05°, γ = 120.06°
Fractional coordinates of all 12 atoms:
1 Tb 0.081 0.413 0.245
2 Tb 0.251 0.251 0.753
3 Tb 0.413 0.081 0.245
4 Tb 0.587 0.919 0.755
5 Tb 0.749 0.749 0.247
6 Tb 0.919 0.587 0.755
7 Pm 0.166 0.834 0.500
8 Pm 0.500 0.500 0.500
9 Pm 0.834 0.166 0.500
10 Dy 0.334 0.666 0.000
11 Dy 0.666 0.334 0.000
12 Mg 0.000 0.000 0.000

Values from the calculation:
Density ... 7.552 g cm⁻³
ΔH_f (0 K) ... 29 meV per atom
Spin magnetization ... 0.00 μB per formula unit

***

(3)
Density functional theory data (PBE) for a relaxed structure of TcNi2Rh6.

a = 4.641 Å, b = 4.641 Å, c = 8.026 Å
α = 106.60°, β = 106.60°, γ = 48.07°
Fractional coordinates of all 9 atoms:
1 Tc 0.000 0.000 0.000
2 Ni 0.338 0.338 0.783
3 Ni 0.662 0.662 0.217
4 Rh 0.003 0.003 0.328
5 Rh 0.334 0.334 0.445
6 Rh 0.335 0.335 0.111
7 Rh 0.665 0.665 0.889
8 Rh 0.666 0.666 0.555
9 Rh 0.997 0.997 0.672

Values from the calculation:
Density ... 11.318 g cm⁻³
ΔH_f (0 K) ... -20 meV per atom
Spin magnetization ... 0.00 μB per formula unit